{"formula": "MnTl", "functional": "PBE", "state": "relaxed", "lattice": [[3.206, 0.000, 0.000], [-1.603, 2.776, 0.000], [0.000, 0.000, 9.742]], "species": ["Mn", "Mn", "Tl", "Tl"], "frac_coords": [[0.333, 0.667, 0.102], [0.667, 0.333, 0.898], [0.333, 0.667, 0.651], [0.667, 0.333, 0.349]], "m_tot_mub_per_fu": 3.8, "n_ef_per_ev_cell": 2.3, "sg": "No. 164", "formation_energy_mev_per_atom": 547}

***

{"formula": "MnTl", "functional": "PBE", "state": "relaxed", "lattice": [[-1.620, 2.368, 5.316], [1.620, -2.368, 5.316], [1.620, 2.368, -5.316]], "species": ["Mn", "Mn", "Tl", "Tl"], "frac_coords": [[0.395, 0.145, 0.250], [0.605, 0.855, 0.750], [0.137, 0.387, 0.750], [0.863, 0.613, 0.250]], "m_tot_mub_per_fu": 3.7, "n_ef_per_ev_cell": 2.4, "sg": "No. 74", "formation_energy_mev_per_atom": 501}